# 1
A geometry-optimized KIr3 structure, computed with GGA-PBE.

a b c (Å): 5.055 5.055 2.694
angles (deg): 90.00 90.00 90.00
Space group P4/mmm (No. 123)
Unique sites:
K (0.000, 0.000, 0.000)
Ir (0.000, 0.500, 0.500)
Ir (0.500, 0.500, 0.000)

## Properties
The total energy comes out at -5.8295 eV per atom. For the density of states at the Fermi level, the calculation gives 5.2 states/eV/f.u. The energy relative to the elements comes out at 4.36 eV/f.u. The mass density is 14.85 g cm⁻³. The energy above the lowest structure with this stoichiometry comes out at 0.598 eV per atom.

***

# 2
A geometry-optimized BaSnCl2 structure, computed with GGA-PBE.

a b c (Å): 4.7029 4.7029 26.6579
angles (deg): 90.00 90.00 120.00
Space group R-3m (No. 166, hexagonal axes)
Unique sites:
Ba (0.0000, 0.0000, 0.0000)
Sn (0.0000, 0.0000, 0.5000)
Cl (0.0000, 0.0000, 0.3861)

## Properties
For the uncorrected formation energy, the calculation gives -1284 meV/atom. The total energy comes out at -3.6891 eV per atom. For the density of states at the Fermi level, the calculation gives 1.8 states/eV/f.u. The mass density is 3.19 g cm⁻³. The energy above the lowest structure with this stoichiometry comes out at 0.000 eV per atom.

***

# 3
A geometry-optimized HoNiSn structure, computed with GGA-PBE.

a b c (Å): 7.818 4.521 7.721
angles (deg): 90.00 109.80 90.00
Space group C2/m (No. 12)
Unique sites:
Ho (0.238, 0.000, 0.216)
Ni (0.135, 0.500, 0.405)
Sn (0.000, 0.000, 0.500)
Sn (0.000, 0.500, 0.000)

## Properties
The total energy comes out at -5.3354 eV per atom. For the density of states at the Fermi level, the calculation gives 2.3 states/eV/f.u. The energy relative to the elements comes out at -1.64 eV/f.u. The mass density is 8.86 g cm⁻³.

***

# 4
A geometry-optimized KCo2Br structure, computed with GGA-PBE.

a b c (Å): 3.357 6.088 10.235
angles (deg): 90.00 90.00 90.00
Space group Imm2 (No. 44)
Unique sites:
K (0.000, 0.000, 0.000)
Co (0.000, 0.000, 0.523)
Co (0.000, 0.500, 0.880)
Br (0.000, 0.500, 0.208)

## Properties
For the uncorrected formation energy, the calculation gives 414 meV/atom. The total energy comes out at -3.8314 eV per atom. For the density of states at the Fermi level, the calculation gives 3.3 states/eV/f.u. The mass density is 3.76 g cm⁻³. The energy above the lowest structure with this stoichiometry comes out at 0.194 eV per atom.

***

# 5
A geometry-optimized K3LaPt structure, computed with GGA-PBE.

a b c (Å): 6.446 6.446 6.446
angles (deg): 90.00 90.00 90.00
Space group Pm-3m (No. 221)
Unique sites:
K (0.000, 0.000, 0.500)
La (0.000, 0.000, 0.000)
Pt (0.500, 0.500, 0.500)

## Properties
The total energy comes out at -1.4370 eV per atom. For the density of states at the Fermi level, the calculation gives 7.5 states/eV/f.u. The energy relative to the elements comes out at 7.08 eV/f.u. The mass density is 2.80 g cm⁻³.

***

# 6
A geometry-optimized TbZn2In structure, computed with GGA-PBE.

a b c (Å): 4.523 4.523 4.134
angles (deg): 90.00 90.00 90.00
Space group P4/mmm (No. 123)
Unique sites:
Tb (0.000, 0.000, 0.000)
Zn (0.000, 0.500, 0.500)
In (0.500, 0.500, 0.000)

## Properties
The total energy comes out at -2.7790 eV per atom. For the density of states at the Fermi level, the calculation gives 2.1 states/eV/f.u. The energy relative to the elements comes out at -1.20 eV/f.u. The mass density is 7.94 g cm⁻³.